1.
The following is a GGA-PBEsol calculation of SiHgSb2Te after structural relaxation, from Alexandria.

POSCAR file:
```
SiHgSb2Te
1.0
5.389 0.000 0.000
0.000 5.389 0.000
0.000 0.000 5.520
Sb Te Si Hg
2 1 1 1
Direct
0.500 0.000 0.000
0.000 0.500 0.000
0.000 0.000 0.500
0.500 0.500 0.500
0.000 0.000 0.000
```

Total moment: 0.0 μB/cell
Space-group type: P4/mmm
ΔE_f (raw): 25.1 kcal/mol of atoms
Uncorrected energy: -2.70 eV per atom



2.
The following is a GGA-PBEsol calculation of BeFeW2 after structural relaxation, from Alexandria.

POSCAR file:
```
BeFeW2
1.0
4.187 0.000 0.000
2.094 3.626 0.000
2.094 1.209 3.419
Fe Be W
1 1 2
Direct
0.250 0.250 0.250
0.500 0.500 0.500
0.750 0.750 0.750
0.000 0.000 0.000
```

Total moment: 1.4 μB/cell
Space-group type: F-43m
Energy of formation from the pure elements: 0.3334 eV/atom
Uncorrected energy: -9.81 eV per atom



- total moment of number 1 (SiHgSb2Te)?
  0.0 μB/cell



- What is the formula in the first record?
  SiHgSb2Te



- What is the uncorrected energy in the second record?
  -9.81 eV per atom



- Which value of total moment does entry 2 give?
  1.4 μB/cell